# 1
Crystalline Sr8PPb3I4 at its relaxed geometry. Source: Alexandria via LeMat-Bulk, functional PBE.

Cell: 9.4031 9.9712 9.3983 Å, 118.12 120.02 90.00°
With the nearest neighbours (Å) after each atom.
Atoms (fractional coordinates):
Sr: 0.7751 0.2914 0.5503  1 P 3.07, 2 Pb 3.31
Sr: 0.2246 0.7084 0.9839  1 P 3.07, 2 Pb 3.31
Sr: 0.7593 0.7084 0.9839  1 P 3.07, 2 Pb 3.31
Sr: 0.7754 0.2916 0.0161  1 P 3.07, 2 Pb 3.31
Sr: 0.7449 0.7346 0.4899  3 Pb 3.35, 3 I 3.50-3.51
Sr: 0.2551 0.2654 0.5101  3 Pb 3.35, 3 I 3.50-3.51
Sr: 0.2249 0.7086 0.4497  1 P 3.07, 2 Pb 3.31
Sr: 0.2407 0.2916 0.0161  1 P 3.07, 2 Pb 3.31
I: 0.5000 0.0000 0.0000  6 Sr 3.79
I: 0.5000 0.0000 0.5000  6 Sr 3.51-3.58
I: 0.0000 0.0000 0.5000  6 Sr 3.51-3.58
I: 0.0000 0.0000 0.0000  6 Sr 3.50-3.58
Pb: 0.0000 0.5000 0.5000  6 Sr 3.31-3.35
Pb: 0.5000 0.5000 0.0000  6 Sr 3.31-3.35
Pb: 0.5000 0.5000 0.5000  6 Sr 3.31-3.35
P: 0.0000 0.5000 0.0000  6 Sr 3.07

## Properties
- Space group: C2/m, No. 12
- VASP energy: -3.26 eV/atom
- Raw formation energy: -1000 meV/atom
- N(E_F): 0.46 states/eV per atom



# 2
Crystalline Pm2TlSn3 at its relaxed geometry. Source: Alexandria via LeMat-Bulk, functional PBE.

Cell: 3.4292 5.7795 9.8067 Å, 107.14 100.07 90.00°
With the nearest neighbours (Å) after each atom.
Atoms (fractional coordinates):
Tl: 0.0000 0.0000 0.0000  4 Sn 2.89-3.15
Sn: 0.0000 0.5000 0.0000  2 Tl 2.89
Sn: 0.8293 0.8293 0.6586  1 Tl 3.15, 5 Pm 3.22-3.37, 2 Sn 3.43
Sn: 0.1707 0.1707 0.3414  1 Tl 3.15, 5 Pm 3.22-3.37, 2 Sn 3.43
Pm: 0.3457 0.3457 0.6914  7 Sn 3.22-3.37, 2 Pm 3.43
Pm: 0.6543 0.6543 0.3086  7 Sn 3.22-3.37, 2 Pm 3.43

## Properties
- Space group: Immm, No. 71
- VASP energy: -4.25 eV/atom
- Formation energy: -0.269 eV per atom
- N(E_F): 0.78 states/eV per atom



# 3
Crystalline Nb2AlRu2 at its relaxed geometry. Source: Alexandria via LeMat-Bulk, functional PBE.

Cell: 7.3534 7.3534 3.0992 Å, 90.00 90.00 90.00°
With the nearest neighbours (Å) after each atom.
Atoms (fractional coordinates):
Nb: 0.8335 0.3335 0.5000  6 Ru 2.58-2.71
Nb: 0.6665 0.8335 0.5000  6 Ru 2.58-2.71
Nb: 0.1665 0.6665 0.5000  6 Ru 2.58-2.71
Nb: 0.3335 0.1665 0.5000  6 Ru 2.58-2.71
Al: 0.0000 0.0000 0.0000  4 Ru 2.86, 2 Al 3.10, 8 Nb 3.15
Al: 0.5000 0.5000 0.0000  4 Ru 2.86, 2 Al 3.10, 8 Nb 3.15
Ru: 0.1349 0.3651 0.0000  6 Nb 2.58-2.71, 1 Ru 2.80, 2 Al 2.86
Ru: 0.8651 0.6349 0.0000  6 Nb 2.58-2.71, 1 Ru 2.80, 2 Al 2.86
Ru: 0.3651 0.8651 0.0000  6 Nb 2.58-2.71, 1 Ru 2.80, 2 Al 2.86
Ru: 0.6349 0.1349 0.0000  6 Nb 2.58-2.71, 1 Ru 2.80, 2 Al 2.86

## Properties
- Space group: P4/mbm, No. 127
- VASP energy: -8.67 eV/atom
- Energy relative to the lowest polymorph listed for this composition: 0.0 meV per atom
- Formation energy: -0.179 eV per atom
- N(E_F): 0.69 states/eV per atom



# 4
Crystalline LuMnPd2 at its relaxed geometry. Source: Alexandria via LeMat-Bulk, functional PBE.

Cell: 3.3153 3.3153 6.4274 Å, 90.00 90.00 90.00°
With the nearest neighbours (Å) after each atom.
Atoms (fractional coordinates):
Mn: 0.5000 0.5000 0.0000  8 Pd 2.77
Lu: 0.5000 0.5000 0.5000  8 Pd 2.92, 2 Mn 3.21
Pd: 0.0000 0.0000 0.7701  4 Mn 2.77, 4 Lu 2.92, 1 Pd 2.95
Pd: 0.0000 0.0000 0.2299  4 Mn 2.77, 4 Lu 2.92, 1 Pd 2.95

## Properties
- Space group: P4/mmm, No. 123
- VASP energy: -6.59 eV/atom
- Formation energy: -0.571 eV per atom
- N(E_F): 0.31 states/eV per atom



# 5
Crystalline Li2AcAgCl8 at its relaxed geometry. Source: Alexandria via LeMat-Bulk, functional PBE.

Cell: 6.0305 6.0305 8.2963 Å, 90.00 90.00 120.00°
With the nearest neighbours (Å) after each atom.
Atoms (fractional coordinates):
Ac: 0.0000 0.0000 0.0000  12 Cl 3.25-3.48
Li: 0.6667 0.3333 0.4997  6 Cl 2.56
Li: 0.3333 0.6667 0.5003  6 Cl 2.56
Cl: 0.3256 0.3258 0.3120  1 Ag 2.51, 2 Li 2.56
Cl: 0.3258 0.0002 0.6880  1 Ag 2.51, 2 Li 2.56
Cl: 0.3333 0.6667 0.9999  9 Cl 3.29-3.48, 3 Ac 3.48
Cl: 0.6744 0.6742 0.6880  1 Ag 2.51, 2 Li 2.56
Cl: 0.6742 0.9998 0.3120  1 Ag 2.51, 2 Li 2.56
Cl: 0.6667 0.3333 0.0001  9 Cl 3.29-3.48, 3 Ac 3.48
Cl: 0.9998 0.3256 0.6880  1 Ag 2.51, 2 Li 2.56
Cl: 0.0002 0.6744 0.3120  1 Ag 2.51, 2 Li 2.56
Ag: 0.0000 0.0000 0.5000  6 Cl 2.51

## Properties
- Space group: P-31m, No. 162
- VASP energy: -3.43 eV/atom
- Raw formation energy: -1305 meV/atom
- N(E_F): 0.52 states/eV per atom



# 6
Crystalline Rb3TlBr4 at its relaxed geometry. Source: Alexandria via LeMat-Bulk, functional PBE.

Cell: 6.9343 6.9343 8.5036 Å, 114.06 114.06 90.00°
With the nearest neighbours (Å) after each atom.
Atoms (fractional coordinates):
Br: 0.7550 0.7550 0.5101  1 Tl 3.40, 5 Rb 3.47-3.54
Br: 0.0000 0.5000 0.0000  2 Tl 3.47, 4 Rb 3.47
Br: 0.5000 0.0000 0.0000  2 Tl 3.47, 4 Rb 3.47
Br: 0.2450 0.2450 0.4899  1 Tl 3.40, 5 Rb 3.47-3.54
Rb: 0.2500 0.7500 0.5000  6 Br 3.47
Rb: 0.7500 0.2500 0.5000  6 Br 3.47
Rb: 0.5000 0.5000 0.0000  6 Br 3.47-3.54
Tl: 0.0000 0.0000 0.0000  6 Br 3.40-3.47

## Properties
- Space group: I4/mmm, No. 139
- VASP energy: -3.02 eV/atom
- Energy relative to the lowest polymorph listed for this composition: 0.0 meV per atom
- Raw formation energy: -1530 meV/atom
- N(E_F): 0.00 states/eV per atom



# 7
Crystalline CuHg2Ru at its relaxed geometry. Source: Alexandria via LeMat-Bulk, functional PBE.

Cell: 5.0772 5.0772 5.0772 Å, 132.73 132.73 69.07°
With the nearest neighbours (Å) after each atom.
Atoms (fractional coordinates):
Hg: 0.2500 0.7500 0.5000  4 Cu 2.88, 4 Hg 2.92, 4 Ru 2.92
Hg: 0.0000 0.0000 0.0000  4 Ru 2.88, 4 Cu 2.92, 4 Hg 2.92
Cu: 0.7500 0.2500 0.5000  8 Hg 2.88-2.92, 4 Ru 2.92
Ru: 0.5000 0.5000 0.0000  8 Hg 2.88-2.92, 4 Cu 2.92

## Properties
- Space group: I-4m2, No. 119
- VASP energy: -2.99 eV/atom
- Energy relative to the lowest polymorph listed for this composition: 117.5 meV per atom
- Formation energy: 0.506 eV per atom
- N(E_F): 0.69 states/eV per atom



# 8
Crystalline TmH2Pt at its relaxed geometry. Source: Alexandria via LeMat-Bulk, functional PBE.

Cell: 4.0325 4.0325 4.3675 Å, 62.51 62.51 60.00°
With the nearest neighbours (Å) after each atom.
Atoms (fractional coordinates):
H: 0.8494 0.8494 0.4519  1 Pt 1.67
H: 0.1506 0.1506 0.5481  1 Pt 1.67
Pt: 0.0000 0.0000 0.0000  2 H 1.67
Tm: 0.5000 0.5000 0.5000  6 H 2.33

## Properties
- Space group: R-3m, No. 166
- VASP energy: -4.97 eV/atom
- N(E_F): 0.31 states/eV per atom